VASP calculation (PBEsol) on Mg2CrN3 after structural relaxation.

The structure in CIF format:
```
data_Mg2CrN3
_cell_length_a 5.842
_cell_length_b 5.842
_cell_length_c 4.621
_cell_angle_alpha 90.00
_cell_angle_beta 90.00
_cell_angle_gamma 60.92
_space_group_name_H-M_alt 'P 1'
_space_group_IT_number 1
_space_group_name_Hall 'P 1'
loop_
_atom_site_label
_atom_site_type_symbol
_atom_site_fract_x
_atom_site_fract_y
_atom_site_fract_z
Mg1 Mg 0.005 0.668 0.500
Mg2 Mg 0.332 0.995 0.500
Mg3 Mg 0.668 0.005 0.000
Mg4 Mg 0.995 0.332 0.000
Cr1 Cr 0.328 0.672 0.034
Cr2 Cr 0.672 0.328 0.534
N1 N 0.034 0.668 0.973
N2 N 0.332 0.966 0.973
N3 N 0.374 0.626 0.422
N4 N 0.626 0.374 0.922
N5 N 0.668 0.034 0.473
N6 N 0.966 0.332 0.473
```

Results
- V (Å³/f.u.) = 69
- uncorrected formation energy (eV/atom) = -0.781

VASP calculation (PBEsol) on MgCrSe2N after structural relaxation.

The structure in CIF format:
```
data_MgCrSe2N
_cell_length_a 4.943
_cell_length_b 4.943
_cell_length_c 3.496
_cell_angle_alpha 90.00
_cell_angle_beta 90.00
_cell_angle_gamma 90.00
_space_group_name_H-M_alt 'P 1'
_space_group_IT_number 1
_space_group_name_Hall 'P 1'
loop_
_atom_site_label
_atom_site_type_symbol
_atom_site_fract_x
_atom_site_fract_y
_atom_site_fract_z
Mg1 Mg 0.000 0.000 0.000
Cr1 Cr 0.500 0.500 0.500
Se1 Se 0.000 0.500 0.500
Se2 Se 0.500 0.000 0.500
N1 N 0.500 0.500 0.000
```

Results
- V (Å³/f.u.) = 85
- uncorrected formation energy (eV/atom) = -0.265

VASP calculation (PBEsol) on NaMg30CrO32 after structural relaxation.

The structure in CIF format:
```
data_NaMg30CrO32
_cell_length_a 8.449
_cell_length_b 8.449
_cell_length_c 8.448
_cell_angle_alpha 90.00
_cell_angle_beta 90.00
_cell_angle_gamma 90.00
_space_group_name_H-M_alt 'P 1'
_space_group_IT_number 1
_space_group_name_Hall 'P 1'
loop_
_atom_site_label
_atom_site_type_symbol
_atom_site_fract_x
_atom_site_fract_y
_atom_site_fract_z
Na1 Na 0.000 0.000 0.000
Mg1 Mg 0.000 0.000 0.500
Mg2 Mg 0.000 0.248 0.249
Mg3 Mg 0.000 0.248 0.751
Mg4 Mg 0.000 0.500 0.000
Mg5 Mg 0.000 0.500 0.500
Mg6 Mg 0.000 0.752 0.249
Mg7 Mg 0.000 0.752 0.751
Mg8 Mg 0.247 0.247 0.000
Mg9 Mg 0.247 0.753 0.000
Mg10 Mg 0.248 0.000 0.249
Mg11 Mg 0.248 0.000 0.751
Mg12 Mg 0.248 0.500 0.251
Mg13 Mg 0.248 0.500 0.749
Mg14 Mg 0.249 0.249 0.500
Mg15 Mg 0.249 0.751 0.500
Mg16 Mg 0.500 0.000 0.000
Mg17 Mg 0.500 0.000 0.500
Mg18 Mg 0.500 0.248 0.251
Mg19 Mg 0.500 0.248 0.749
Mg20 Mg 0.500 0.500 0.500
Mg21 Mg 0.500 0.752 0.251
Mg22 Mg 0.500 0.752 0.749
Mg23 Mg 0.751 0.249 0.500
Mg24 Mg 0.751 0.751 0.500
Mg25 Mg 0.752 0.000 0.249
Mg26 Mg 0.752 0.000 0.751
Mg27 Mg 0.752 0.500 0.251
Mg28 Mg 0.752 0.500 0.749
Mg29 Mg 0.753 0.247 0.000
Mg30 Mg 0.753 0.753 0.000
Cr1 Cr 0.500 0.500 0.000
O1 O 0.000 0.000 0.262
O2 O 0.000 0.000 0.738
O3 O 0.000 0.253 0.500
O4 O 0.000 0.264 0.000
O5 O 0.000 0.500 0.251
O6 O 0.000 0.500 0.749
O7 O 0.000 0.736 0.000
O8 O 0.000 0.747 0.500
O9 O 0.251 0.251 0.249
O10 O 0.251 0.251 0.751
O11 O 0.251 0.749 0.249
O12 O 0.251 0.749 0.751
O13 O 0.253 0.000 0.500
O14 O 0.253 0.500 0.500
O15 O 0.261 0.500 0.000
O16 O 0.264 0.000 0.000
O17 O 0.500 0.000 0.251
O18 O 0.500 0.000 0.749
O19 O 0.500 0.253 0.500
O20 O 0.500 0.261 0.000
O21 O 0.500 0.500 0.241
O22 O 0.500 0.500 0.759
O23 O 0.500 0.739 0.000
O24 O 0.500 0.747 0.500
O25 O 0.736 0.000 0.000
O26 O 0.739 0.500 0.000
O27 O 0.747 0.000 0.500
O28 O 0.747 0.500 0.500
O29 O 0.749 0.251 0.249
O30 O 0.749 0.251 0.751
O31 O 0.749 0.749 0.249
O32 O 0.749 0.749 0.751
```

Results
- V (Å³/f.u.) = 603
- uncorrected formation energy (eV/atom) = -2.677

VASP calculation (PBEsol) on MgCrNi after structural relaxation.

The structure in CIF format:
```
data_MgCrNi
_cell_length_a 3.952
_cell_length_b 3.952
_cell_length_c 3.952
_cell_angle_alpha 60.00
_cell_angle_beta 60.00
_cell_angle_gamma 60.00
_space_group_name_H-M_alt 'P 1'
_space_group_IT_number 1
_space_group_name_Hall 'P 1'
loop_
_atom_site_label
_atom_site_type_symbol
_atom_site_fract_x
_atom_site_fract_y
_atom_site_fract_z
Mg1 Mg 0.000 0.000 0.000
Cr1 Cr 0.500 0.500 0.500
Ni1 Ni 0.250 0.250 0.250
```

Results
- formation energy (kJ per mole of atoms) = 63.2
- V (Å³/f.u.) = 44